No. 1
VASP calculation (PBE-GGA) on SmThCu2Ge2 after structural relaxation.

Summary:
The theoretical density is 8.749 g/cm3. As for the crystal system: trigonal. The formation enthalpy at 0 K is -653 meV per atom.

Lattice parameters (Å, degrees): 4.234 4.234 8.006 90.00 90.00 120.00
Fractional positions:
Sm 0.000 0.000 0.000
Th 0.000 0.000 0.500
Cu 0.333 0.667 0.745
Cu 0.667 0.333 0.255
Ge 0.333 0.667 0.245
Ge 0.667 0.333 0.755

No. 2
VASP calculation (PBE-GGA) on CaFeP2 after structural relaxation.

Summary:
The theoretical density is 3.853 g/cm3. As for the crystal system: orthorhombic. The formation enthalpy at 0 K is -9 meV per atom.

Lattice parameters (Å, degrees): 4.085 4.524 3.682 90.00 90.00 90.00
Each line ends with the local moment (μB).
Fractional positions:
Ca 0.500 0.000 0.500  0.00
Fe 0.000 0.500 0.500  2.92
P 0.000 0.000 0.000  0.01
P 0.500 0.500 0.000  0.03

No. 3
VASP calculation (PBE-GGA) on FeSbTe2Mo after structural relaxation.

Summary:
The theoretical density is 5.987 g/cm3. As for the crystal system: tetragonal. For the uncorrected formation energy, the calculation gives 0.998 eV/atom.

Lattice parameters (Å, degrees): 5.264 5.264 5.292 90.00 90.00 90.00
Each line ends with the local moment (μB).
Fractional positions:
Sb 0.000 0.000 0.500  -0.02
Mo 0.000 0.000 0.000  -0.21
Te 0.000 0.500 0.000  -0.01
Te 0.500 0.000 0.000  -0.01
Fe 0.500 0.500 0.500  3.33

No. 4
VASP calculation (PBE-GGA) on ZrMnFe after structural relaxation.

Summary:
The theoretical density is 7.320 g/cm3. As for the crystal system: trigonal. The formation enthalpy at 0 K is 436 meV per atom.

Lattice parameters (Å, degrees): 2.853 2.853 6.501 90.00 90.00 120.00
Each line ends with the local moment (μB).
Fractional positions:
Fe 0.000 0.000 0.033  1.76
Mn 0.667 0.333 0.298  1.89
Zr 0.333 0.667 0.669  -0.02

No. 5
VASP calculation (PBE-GGA) on BiS3O12 after structural relaxation.

Summary:
The theoretical density is 3.043 g/cm3. As for the crystal system: trigonal. For the uncorrected formation energy, the calculation gives -0.968 eV/atom.

Lattice parameters (Å, degrees): 8.602 8.602 9.816 64.02 64.02 60.00
Each line ends with the local moment (μB).
Fractional positions:
Bi 0.057 0.057 0.830  -0.02
Bi 0.557 0.557 0.330  -0.02
S 0.698 0.337 0.000  -0.03
S 0.198 0.465 0.500  -0.03
S 0.837 0.198 0.500  -0.03
S 0.337 0.965 0.000  -0.03
S 0.965 0.698 0.000  -0.03
S 0.465 0.837 0.500  -0.03
O 0.130 0.079 0.029  0.12
O 0.201 0.294 0.635  0.20
O 0.940 0.011 0.476  0.32
O 0.838 0.399 0.853  0.24
O 0.338 0.410 0.353  0.24
O 0.440 0.073 0.976  0.32
O 0.701 0.371 0.135  0.20
O 0.011 0.573 0.476  0.32
O 0.630 0.261 0.529  0.12
O 0.871 0.201 0.635  0.20
O 0.899 0.338 0.353  0.24
O 0.261 0.579 0.529  0.12
O 0.073 0.511 0.976  0.32
O 0.761 0.130 0.029  0.12
O 0.399 0.910 0.853  0.24
O 0.371 0.794 0.135  0.20
O 0.794 0.701 0.135  0.20
O 0.511 0.440 0.976  0.32
O 0.579 0.630 0.529  0.12
O 0.910 0.838 0.853  0.24
O 0.410 0.899 0.353  0.24
O 0.079 0.761 0.029  0.12
O 0.294 0.871 0.635  0.20
O 0.573 0.940 0.476  0.32

No. 6
VASP calculation (PBE-GGA) on LiNb2OsN after structural relaxation.

Summary:
The theoretical density is 9.771 g/cm3. As for the crystal system: tetragonal. For the uncorrected formation energy, the calculation gives -0.404 eV/atom.

Lattice parameters (Å, degrees): 4.283 4.283 3.677 90.00 90.00 90.00
Fractional positions:
Nb 0.000 0.500 0.000
Nb 0.500 0.000 0.000
Li 0.000 0.000 0.500
Os 0.500 0.500 0.500
N 0.000 0.000 0.000

No. 7
VASP calculation (PBE-GGA) on LiPaPtRh after structural relaxation.

Summary:
The theoretical density is 12.269 g/cm3. As for the crystal system: cubic. The formation enthalpy at 0 K is -681 meV per atom.

Lattice parameters (Å, degrees): 4.681 4.681 4.681 60.00 60.00 60.00
Fractional positions:
Pa 0.000 0.000 0.000
Rh 0.250 0.250 0.250
Pt 0.750 0.750 0.750
Li 0.500 0.500 0.500

No. 8
VASP calculation (PBE-GGA) on Bi3Au2O8 after structural relaxation.

Summary:
The theoretical density is 8.828 g/cm3. As for the crystal system: trigonal. For the uncorrected formation energy, the calculation gives -0.280 eV/atom.

Lattice parameters (Å, degrees): 6.577 6.577 6.906 61.56 61.56 60.00
Fractional positions:
Bi 0.000 0.000 0.000
Bi 0.815 0.815 0.555
Bi 0.185 0.185 0.445
Au 0.577 0.577 0.269
Au 0.423 0.423 0.731
O 0.695 0.695 0.916
O 0.305 0.305 0.084
O 0.187 0.764 0.285
O 0.764 0.187 0.285
O 0.764 0.764 0.285
O 0.236 0.813 0.715
O 0.813 0.236 0.715
O 0.236 0.236 0.715